[1]
# AcMgZnSi

A relaxed AcMgZnSi crystal (PBE, Alexandria via LeMat-Bulk).

Cell and atoms, written as POSCAR:
```
AcMgZnSi
1.0
5.1436 0.0000 0.0000
2.5718 4.4545 0.0000
2.5718 1.4848 4.1997
Ac Mg Si Zn
1 1 1 1
direct
0.0000 0.0000 0.0000
0.5000 0.5000 0.5000
0.7500 0.7500 0.7500
0.2500 0.2500 0.2500
```

## Properties
Total magnetic moment (μB/cell): 0.000
Uncorrected energy (eV for the cell shown): -13.12
V (Å³/atom): 24.1
Symmetry: No. 216

=====

[2]
# Pr2SmHo4Er2

A relaxed Pr2SmHo4Er2 crystal (PBE, Alexandria via LeMat-Bulk).

Cell and atoms, written as POSCAR:
```
Pr2SmHo4Er2
1.0
-6.7781 -0.7455 0.6848
-3.8319 -8.4858 3.2929
4.0079 3.6570 3.7934
Pr Er Ho Sm
2 2 4 1
direct
0.2710 0.6587 0.6021
0.7290 0.3413 0.3979
0.8229 0.4451 0.0371
0.1771 0.5549 0.9629
0.3831 0.2385 0.4951
0.7399 0.8858 0.2018
0.6169 0.7615 0.5049
0.2601 0.1142 0.7982
0.0000 0.0000 0.0000
```

## Properties
Total magnetic moment (μB/cell): 0.000
V (Å³/atom): 32.5
E_form (eV per atom): 0.09
Symmetry: No. 2

=====

[3]
# CsCu3Cl6

A relaxed CsCu3Cl6 crystal (PBE, Alexandria via LeMat-Bulk).

Cell and atoms, written as POSCAR:
```
CsCu3Cl6
1.0
8.5124 0.0000 4.5616
3.5946 8.6087 3.5154
0.1531 0.7824 9.9375
Cl Cs Cu
12 2 6
direct
0.2406 0.7626 0.4385
0.5583 0.2626 0.9385
0.1444 0.8361 0.8361
0.4417 0.0615 0.7374
0.5583 0.9385 0.2626
0.8166 0.6639 0.6639
0.2406 0.4385 0.7626
0.4417 0.7374 0.0615
0.7594 0.2374 0.5615
0.7594 0.5615 0.2374
0.8556 0.1639 0.1639
0.1834 0.3361 0.3361
0.0000 0.7500 0.2500
0.0000 0.2500 0.7500
0.4098 0.1920 0.1920
0.2062 0.6920 0.6920
0.7938 0.3080 0.3080
0.5000 0.7500 0.2500
0.5000 0.2500 0.7500
0.5902 0.8080 0.8080
```

## Properties
Total magnetic moment (μB/cell): 1.952
Uncorrected energy (eV for the cell shown): -64.25
V (Å³/atom): 35.6
Symmetry: No. 72

=====

[4]
# AcPa2Si

A relaxed AcPa2Si crystal (PBE, Alexandria via LeMat-Bulk).

Cell and atoms, written as POSCAR:
```
AcPa2Si
1.0
4.9244 0.0000 0.0000
0.0000 4.5504 0.0000
0.0000 0.0000 4.5504
Pa Ac Si
2 1 1
direct
0.0000 0.0000 0.5000
0.0000 0.5000 0.0000
0.5000 0.5000 0.5000
0.5000 0.0000 0.0000
```

## Properties
Total magnetic moment (μB/cell): 0.001
Uncorrected energy (eV for the cell shown): -28.01
V (Å³/atom): 25.5
Symmetry: No. 123

=====

[5]
# LaThTcNi

A relaxed LaThTcNi crystal (PBE, Alexandria via LeMat-Bulk).

Cell and atoms, written as POSCAR:
```
LaThTcNi
1.0
-0.7031 -4.7570 -1.4268
-0.6654 -3.5805 3.4490
-4.5003 -2.1449 0.5523
La Th Tc Ni
1 1 1 1
direct
0.5000 0.5000 0.5000
0.0000 0.0000 0.0000
0.7500 0.7500 0.7500
0.2500 0.2500 0.2500
```

## Properties
Total magnetic moment (μB/cell): 0.000
V (Å³/atom): 22.3
E_form (eV per atom): -0.06
Symmetry: No. 216

=====

[6]
# Mg2CuAu3

A relaxed Mg2CuAu3 crystal (PBE, Alexandria via LeMat-Bulk).

Cell and atoms, written as POSCAR:
```
Mg2CuAu3
1.0
4.5033 0.0086 0.0176
2.2646 6.7535 0.0089
-0.0263 0.0000 6.7026
Au Mg Cu
6 4 2
direct
0.8285 0.3443 0.2350
0.1715 0.6557 0.2350
0.1715 0.6557 0.7650
0.5000 0.0000 0.7505
0.5000 0.0000 0.2495
0.8285 0.3443 0.7650
0.6660 0.6681 0.5000
0.0000 0.0000 0.0000
0.0000 0.0000 0.5000
0.3340 0.3319 0.5000
0.3409 0.3201 0.0000
0.6591 0.6799 0.0000
```

## Properties
Total magnetic moment (μB/cell): 0.000
V (Å³/atom): 17.0
E_form (eV per atom): -0.42
Symmetry: No. 10

=====

[7]
# HoSc2Ru9

A relaxed HoSc2Ru9 crystal (PBE, Alexandria via LeMat-Bulk).

Cell and atoms, written as POSCAR:
```
HoSc2Ru9
1.0
4.9772 0.0000 1.4813
2.2682 4.4304 1.4813
0.0047 0.0029 9.0866
Ru Sc Ho
9 2 1
direct
0.0734 0.5907 0.7451
0.4093 0.9266 0.2549
0.4093 0.4093 0.2549
0.5000 0.5000 0.5000
0.9266 0.4093 0.2549
0.3383 0.3383 0.9850
0.5907 0.5907 0.7451
0.6617 0.6617 0.0150
0.5907 0.0734 0.7451
0.1398 0.1398 0.5806
0.8602 0.8602 0.4194
0.0000 0.0000 0.0000
```

## Properties
Total magnetic moment (μB/cell): 0.366
V (Å³/atom): 16.7
E_form (eV per atom): -0.16
Symmetry: No. 166

=====

[8]
# LiTa3Sb

A relaxed LiTa3Sb crystal (PBE, Alexandria via LeMat-Bulk).

Cell and atoms, written as POSCAR:
```
LiTa3Sb
1.0
-3.0918 -0.5255 3.1942
-1.9878 -3.1780 -2.4469
2.5550 -3.1085 1.9617
Li Sb Ta
1 1 3
direct
0.0000 0.0000 0.0000
0.5000 0.5000 0.5000
0.0000 0.0000 0.5000
0.0000 0.5000 0.0000
0.5000 0.0000 0.0000
```

## Properties
Total magnetic moment (μB/cell): 0.000
Uncorrected energy (eV for the cell shown): -36.83
V (Å³/atom): 17.9
Symmetry: No. 221

=====

[9]
# ZrCo2Rh

A relaxed ZrCo2Rh crystal (PBE, Alexandria via LeMat-Bulk).

Cell and atoms, written as POSCAR:
```
ZrCo2Rh
1.0
-1.7596 2.2242 -2.7910
-2.2981 -1.8447 -0.0212
-3.3242 1.7709 3.5071
Co Rh Zr
2 1 1
direct
0.0000 0.1806 0.0120
0.5000 0.0626 0.2519
0.0000 0.4617 0.4538
0.5000 0.7951 0.7823
```

## Properties
Total magnetic moment (μB/cell): 2.625
V (Å³/atom): 14.5
E_form (eV per atom): -0.13
Symmetry: No. 6

=====

[10]
# Ce3Mg2Pb3

A relaxed Ce3Mg2Pb3 crystal (PBE, Alexandria via LeMat-Bulk).

Cell and atoms, written as POSCAR:
```
Ce3Mg2Pb3
1.0
4.5005 0.0000 0.0000
0.0000 4.8166 0.0000
-2.2503 -2.4083 10.4285
Ce Pb Mg
3 3 2
direct
0.6213 0.6213 0.2427
0.3787 0.3787 0.7573
0.5000 0.0000 0.0000
0.0000 0.5000 0.0000
0.1484 0.1484 0.2968
0.8516 0.8516 0.7032
0.2493 0.7493 0.4985
0.7507 0.2507 0.5015
```

## Properties
Total magnetic moment (μB/cell): 4.021
V (Å³/atom): 28.3
E_form (eV per atom): -0.28
Symmetry: No. 71

=====

[11]
# MgScTcO6

A relaxed MgScTcO6 crystal (PBE, Alexandria via LeMat-Bulk).

Cell and atoms, written as POSCAR:
```
MgScTcO6
1.0
-3.5487 -1.0995 -2.5617
3.0132 0.0744 -4.2061
-0.5825 -4.3830 2.6881
Sc O Mg Tc
1 6 1 1
direct
0.5000 0.6667 0.3333
0.2642 0.0010 0.6952
0.7358 0.6942 0.6952
0.7358 0.0010 0.3058
0.7358 0.3048 0.9990
0.2642 0.6942 0.9990
0.2642 0.3048 0.3058
0.0000 0.3333 0.6667
0.5000 0.0000 0.0000
```

## Properties
Total magnetic moment (μB/cell): 0.000
Uncorrected energy (eV for the cell shown): -67.10
V (Å³/atom): 11.6
Symmetry: No. 149

=====

[12]
# HgBi3S

A relaxed HgBi3S crystal (PBE, Alexandria via LeMat-Bulk).

Cell and atoms, written as POSCAR:
```
HgBi3S
1.0
-3.5563 3.0028 -2.8611
-1.3571 -4.4038 -2.9351
-3.9193 -1.1999 3.6124
Bi S Hg
3 1 1
direct
0.0000 0.5000 0.0000
0.0000 0.0000 0.5000
0.5000 0.0000 0.0000
0.0000 0.0000 0.0000
0.5000 0.5000 0.5000
```

## Properties
Total magnetic moment (μB/cell): 0.000
Uncorrected energy (eV for the cell shown): -14.05
V (Å³/atom): 32.6
Symmetry: No. 221

=====

[13]
# Hf2TaBe

A relaxed Hf2TaBe crystal (PBE, Alexandria via LeMat-Bulk).

Cell and atoms, written as POSCAR:
```
Hf2TaBe
1.0
-2.6817 -1.3033 0.4889
-0.1650 -2.9752 0.5000
0.0280 0.1070 9.7752
Hf Ta Be
2 1 1
direct
0.0984 0.0984 0.7049
0.9016 0.9016 0.2951
0.0000 0.0000 0.0000
0.5000 0.5000 0.5000
```

## Properties
Total magnetic moment (μB/cell): 0.001
V (Å³/atom): 19.0
E_form (eV per atom): 0.48
Symmetry: No. 166

=====

[14]
# Zr2TiRh

A relaxed Zr2TiRh crystal (PBE, Alexandria via LeMat-Bulk).

Cell and atoms, written as POSCAR:
```
Zr2TiRh
1.0
-0.7376 0.1824 -3.2236
-2.5129 -2.1087 0.4557
-4.2440 5.3326 1.2729
Ti Zr Rh
1 2 1
direct
0.5000 0.5000 0.5000
0.0000 0.0000 0.2356
0.0000 0.0000 0.7644
0.5000 0.5000 0.0000
```

## Properties
Total magnetic moment (μB/cell): 0.000
V (Å³/atom): 19.0
E_form (eV per atom): -0.39
Symmetry: No. 123

=====

[15]
# MgCuPd4

A relaxed MgCuPd4 crystal (PBE, Alexandria via LeMat-Bulk).

Cell and atoms, written as POSCAR:
```
MgCuPd4
1.0
-2.8781 -0.0762 -0.0438
-1.3233 -5.4106 1.7223
-1.6500 5.6494 3.9420
Pd Cu Mg
4 1 1
direct
0.3242 0.0182 0.3334
0.8351 0.5029 0.8270
0.6758 0.9818 0.6666
0.1649 0.4971 0.1730
0.5000 0.5000 0.5000
0.0000 0.0000 0.0000
```

## Properties
Total magnetic moment (μB/cell): 0.000
V (Å³/atom): 15.0
E_form (eV per atom): -0.33
Symmetry: No. 12

=====

[16]
# YCo2Si

A relaxed YCo2Si crystal (PBE, Alexandria via LeMat-Bulk).

Cell and atoms, written as POSCAR:
```
YCo2Si
1.0
4.3491 0.0000 0.0000
0.0000 4.3491 0.0000
2.1745 2.1745 7.7910
Y Co Si
2 4 2
direct
0.0000 0.0000 0.0000
0.7500 0.2500 0.5000
0.3750 0.5648 0.7500
0.8750 0.6852 0.7500
0.4352 0.1250 0.2500
0.3148 0.6250 0.2500
0.2500 0.7500 0.5000
0.5000 0.5000 0.0000
```

## Properties
Total magnetic moment (μB/cell): 3.263
Uncorrected energy (eV for the cell shown): -53.23
V (Å³/atom): 18.4
Symmetry: No. 122

=====

[17]
# Zn2HgOs

A relaxed Zn2HgOs crystal (PBE, Alexandria via LeMat-Bulk).

Cell and atoms, written as POSCAR:
```
Zn2HgOs
1.0
-2.2666 -2.4983 3.7354
-2.5188 -4.0951 1.4893
3.8566 -2.6235 1.4320
Zn Hg Os
2 1 1
direct
0.7515 0.7515 0.7411
0.9875 0.9875 0.0249
0.5077 0.5077 0.5154
0.2533 0.2533 0.2185
```

## Properties
Total magnetic moment (μB/cell): 0.000
V (Å³/atom): 16.2
E_form (eV per atom): 0.40
Symmetry: No. 8

=====

[18]
# HfZr2Pb

A relaxed HfZr2Pb crystal (PBE, Alexandria via LeMat-Bulk).

Cell and atoms, written as POSCAR:
```
HfZr2Pb
1.0
3.7574 0.0000 0.0000
0.0000 3.7574 0.0000
0.0000 0.0000 6.5211
Hf Zr Pb
1 2 1
direct
0.5000 0.5000 0.0000
0.0000 0.0000 0.2511
0.0000 0.0000 0.7489
0.5000 0.5000 0.5000
```

## Properties
Total magnetic moment (μB/cell): 0.000
V (Å³/atom): 23.0
E_form (eV per atom): -0.09
Symmetry: No. 123

=====

[19]
# TeSe5

A relaxed TeSe5 crystal (PBE, Alexandria via LeMat-Bulk).

Cell and atoms, written as POSCAR:
```
TeSe5
1.0
3.2151 -5.5687 0.0000
3.2151 5.5687 0.0000
0.0000 0.0000 3.9486
Se Te
5 1
direct
0.6667 0.3333 0.5000
0.0000 0.6551 0.0000
0.3449 0.3449 0.0000
0.3333 0.6667 0.5000
0.6551 0.0000 0.0000
0.0000 0.0000 0.5000
```

## Properties
Total magnetic moment (μB/cell): 0.000
Uncorrected energy (eV for the cell shown): -18.72
V (Å³/atom): 23.6
Symmetry: No. 189

=====

[20]
# ScMnRu3

A relaxed ScMnRu3 crystal (PBE, Alexandria via LeMat-Bulk).

Cell and atoms, written as POSCAR:
```
ScMnRu3
1.0
-2.3149 -2.5112 -2.8061
0.9430 -3.5755 2.4218
-3.6457 0.6696 2.4082
Ru Sc Mn
3 1 1
direct
0.5000 0.0000 0.0000
0.0000 0.5000 0.0000
0.0000 0.0000 0.5000
0.5000 0.5000 0.5000
0.0000 0.0000 0.0000
```

## Properties
Total magnetic moment (μB/cell): 0.000
V (Å³/atom): 17.3
E_form (eV per atom): 0.60
Symmetry: No. 221

=====

[21]
# GaAg2SnC

A relaxed GaAg2SnC crystal (PBE, Alexandria via LeMat-Bulk).

Cell and atoms, written as POSCAR:
```
GaAg2SnC
1.0
5.3615 0.0000 0.0000
0.0000 4.2270 0.0000
0.0000 0.0000 5.3615
Ag C Sn Ga
2 1 1 1
direct
0.5000 0.0000 0.0000
0.0000 0.0000 0.5000
0.0000 0.5000 0.0000
0.0000 0.0000 0.0000
0.5000 0.5000 0.5000
```

## Properties
Total magnetic moment (μB/cell): 0.000
V (Å³/atom): 24.3
E_form (eV per atom): 1.27
Symmetry: No. 123

=====

[22]
# La4AgP

A relaxed La4AgP crystal (PBE, Alexandria via LeMat-Bulk).

Cell and atoms, written as POSCAR:
```
La4AgP
1.0
1.7842 3.9079 4.6254
-1.8250 6.0423 -0.0934
-4.2423 2.0809 4.1860
P La Ag
1 4 1
direct
0.7500 0.7500 0.7500
0.3770 0.3770 0.3770
0.8691 0.3770 0.3770
0.3770 0.3770 0.8691
0.3770 0.8691 0.3770
0.0000 0.0000 0.0000
```

## Properties
Total magnetic moment (μB/cell): 0.004
V (Å³/atom): 29.6
E_form (eV per atom): 0.31
Symmetry: No. 216

=====

[23]
# Ti2AlPt2

A relaxed Ti2AlPt2 crystal (PBE, Alexandria via LeMat-Bulk).

Cell and atoms, written as POSCAR:
```
Ti2AlPt2
1.0
-2.9292 4.3101 5.6546
-1.6225 -6.3596 4.0069
2.5644 0.1235 1.2343
Pt Al Ti
4 2 4
direct
0.1348 0.6348 0.5000
0.6348 0.8652 0.5000
0.3652 0.1348 0.5000
0.8652 0.3652 0.5000
0.5000 0.5000 0.0000
0.0000 0.0000 0.0000
0.3400 0.8400 0.0000
0.8400 0.6600 0.0000
0.1600 0.3400 0.0000
0.6600 0.1600 0.0000
```

## Properties
Total magnetic moment (μB/cell): 0.000
V (Å³/atom): 16.8
E_form (eV per atom): -0.59
Symmetry: No. 127

=====

[24]
# Hg2Pd5Au4

A relaxed Hg2Pd5Au4 crystal (PBE, Alexandria via LeMat-Bulk).

Cell and atoms, written as POSCAR:
```
Hg2Pd5Au4
1.0
3.0123 0.0000 0.0000
0.0000 6.9847 0.0000
0.0000 0.0000 18.5798
Hg Au Pd
4 8 10
direct
0.5000 0.8887 0.2200
0.5000 0.6113 0.7200
0.5000 0.1113 0.7800
0.5000 0.3887 0.2800
0.5000 0.6767 0.4590
0.5000 0.4659 0.8708
0.5000 0.5341 0.1292
0.5000 0.1767 0.0410
0.5000 0.3233 0.5410
0.5000 0.0341 0.3708
0.5000 0.9659 0.6292
0.5000 0.8233 0.9590
0.0000 0.2904 0.6698
0.0000 0.7904 0.8302
0.0000 0.0000 0.5000
0.0000 0.7096 0.3302
0.0000 0.3555 0.4119
0.0000 0.2096 0.1698
0.0000 0.6445 0.5881
0.0000 0.5000 0.0000
0.0000 0.1445 0.9119
0.0000 0.8555 0.0881
```

## Properties
Total magnetic moment (μB/cell): 0.000
V (Å³/atom): 17.8
E_form (eV per atom): -0.09
Symmetry: No. 55

=====

[25]
# MgPtW2

A relaxed MgPtW2 crystal (PBE, Alexandria via LeMat-Bulk).

Cell and atoms, written as POSCAR:
```
MgPtW2
1.0
3.2630 0.0000 0.0000
0.0000 3.2630 0.0000
0.0000 0.0000 6.1687
W Pt Mg
2 1 1
direct
0.5000 0.5000 0.2300
0.0000 0.0000 0.0202
0.5000 0.5000 0.7388
0.0000 0.0000 0.5111
```

## Properties
Total magnetic moment (μB/cell): 0.000
V (Å³/atom): 16.4
E_form (eV per atom): 0.02
Symmetry: No. 99

=====

[26]
# Zr2ScCu

A relaxed Zr2ScCu crystal (PBE, Alexandria via LeMat-Bulk).

Cell and atoms, written as POSCAR:
```
Zr2ScCu
1.0
-2.8883 -1.1017 -0.8349
-1.6695 -1.8205 2.0375
-5.5607 6.8401 4.0710
Sc Cu Zr
1 1 2
direct
0.4998 0.4998 0.5007
0.6669 0.6669 0.9994
0.2583 0.2583 0.2251
0.0751 0.0751 0.7747
```

## Properties
Total magnetic moment (μB/cell): 0.000
V (Å³/atom): 21.2
E_form (eV per atom): 0.10
Symmetry: No. 160